Computed, not measured: an optimized crystal structure of BeIn2Mo at the PBE-GGA level of DFT.

## Properties
Calculated total energy, eV/atom: -4.427
DOS at the Fermi energy, states/eV per cell: 1.306
ΔE_f, eV/atom: 0.581
Volume, Å³/cell: 72.0
Space-group type: No. 12
Magnetization, μB/cell: 0.0

Cell lengths 5.1123, 5.1123, 5.1147 Å; angles 84.42, 84.42, 32.76 degrees
Last column: nearest neighbours and their distance in Å.
Fractional positions:
1 Mo 0.2500 0.2500 0.2500  2 Mo 2.88, 4 Be 2.94, 6 In 2.94-2.96
2 In 0.9904 0.9904 0.0003  3 Be 2.79-3.09, 6 In 2.88-2.96, 3 Mo 2.94-2.96
3 In 0.5096 0.5096 0.4997  3 Be 2.79-3.09, 6 In 2.88-2.96, 3 Mo 2.94-2.96
4 Be 0.7500 0.7500 0.7500  6 In 2.79-3.09, 2 Be 2.88, 4 Mo 2.94